(1)
# Ac4NiRh2

Ac4NiRh2 after structural relaxation (GGA-PBE, the Alexandria database).

extended XYZ file:
```
14
Lattice="15.590 0.000 0.000 0.000 4.358 0.000 -3.536 0.000 6.593" Properties=species:S:1:pos:R:3 pbc="T T T"
Ac 0.342 0.000 3.120
Ac -1.346 2.179 6.302
Ac 5.605 0.000 0.291
Ac 3.917 2.179 3.473
Ac 8.137 2.179 3.120
Ac 6.449 0.000 6.302
Ac 13.400 2.179 0.291
Ac 11.712 0.000 3.473
Ni -1.768 2.179 3.296
Ni 6.027 0.000 3.296
Rh 2.953 0.000 1.606
Rh 1.306 2.179 4.987
Rh 10.748 2.179 1.606
Rh 9.101 0.000 4.987
```

- energy relative to the elements (eV per atom) = -0.49
- volume (Å³/cell) = 448.0
- symmetry = C2/m

---

(2)
# Ac2NiRh

Ac2NiRh after structural relaxation (GGA-PBE, the Alexandria database).

extended XYZ file:
```
8
Lattice="6.189 0.000 0.000 0.000 4.325 0.000 -2.770 0.000 7.778" Properties=species:S:1:pos:R:3 pbc="T T T"
Ac 0.216 1.081 3.357
Ac -1.165 1.081 7.253
Ac 4.584 3.244 0.525
Ac 3.203 3.244 4.420
Ni 1.573 3.244 1.637
Ni 1.845 1.081 6.141
Rh 0.117 3.244 5.530
Rh 3.301 1.081 2.247
```

- energy relative to the elements (eV per atom) = -0.48
- volume (Å³/cell) = 208.2
- symmetry = P2_1/m

---

(3)
# Ac9Ni2Rh4

Ac9Ni2Rh4 after structural relaxation (GGA-PBE, the Alexandria database).

extended XYZ file:
```
30
Lattice="7.439 0.000 0.000 -3.719 6.442 0.000 0.000 0.000 20.746" Properties=species:S:1:pos:R:3 pbc="T T T"
Ac -1.205 2.087 5.187
Ac -2.514 4.355 15.560
Ac -1.212 2.187 12.094
Ac -2.431 4.299 1.721
Ac 2.410 0.000 5.187
Ac 1.205 2.087 15.560
Ac 1.212 2.187 1.721
Ac -1.219 6.398 12.094
Ac 2.500 0.044 19.026
Ac 1.289 2.143 8.652
Ac 2.431 4.299 12.094
Ac 1.219 6.398 1.721
Ac 4.938 0.044 8.652
Ac 2.508 4.255 19.026
Ac 5.029 0.000 15.560
Ac 2.514 4.355 5.187
Ac 6.150 2.143 19.026
Ac 4.931 4.255 8.652
Ni 0.000 0.000 3.424
Ni 0.000 0.000 6.949
Ni 0.000 0.000 13.797
Ni 0.000 0.000 17.322
Rh 0.000 4.295 3.515
Rh 0.000 4.295 10.336
Rh 0.000 4.295 13.888
Rh 0.000 4.295 20.710
Rh 3.719 2.147 0.037
Rh 3.719 2.147 6.858
Rh 3.719 2.147 10.410
Rh 3.719 2.147 17.231
```

- energy relative to the elements (eV per atom) = -0.47
- volume (Å³/cell) = 994.2
- symmetry = P-3c1

---

(4)
# Ac8NiRh4

Ac8NiRh4 after structural relaxation (GGA-PBE, the Alexandria database).

extended XYZ file:
```
13
Lattice="10.488 -2.184 0.000 10.488 2.184 0.000 -9.028 0.000 10.778" Properties=species:S:1:pos:R:3 pbc="T T T"
Ac 0.000 0.000 0.000
Ac -5.984 0.000 8.061
Ac -2.087 0.000 9.909
Ac 1.123 0.000 7.245
Ac 4.226 0.000 4.527
Ac 7.903 0.000 6.383
Ac 14.121 0.000 0.886
Ac 17.682 0.000 2.767
Ni 13.175 0.000 5.820
Rh -4.341 0.000 5.517
Rh 5.426 0.000 1.716
Rh 3.053 0.000 9.616
Rh 9.900 0.000 8.589
```

- energy relative to the elements (eV per atom) = -0.44
- volume (Å³/cell) = 493.9
- symmetry = Cm

---

(5)
# Ac8NiRh3

Ac8NiRh3 after structural relaxation (GGA-PBE, the Alexandria database).

extended XYZ file:
```
12
Lattice="8.417 0.000 0.000 3.894 7.472 0.000 3.886 2.380 7.097" Properties=species:S:1:pos:R:3 pbc="T T T"
Ac 3.959 2.404 1.734
Ac 7.851 7.331 5.283
Ac 6.058 3.697 5.352
Ac 6.085 6.260 1.815
Ac 10.112 3.592 5.281
Ac 10.139 6.154 1.744
Ac 8.346 2.521 1.814
Ac 12.237 7.448 5.363
Ni 1.943 1.190 3.548
Rh 1.947 3.736 0.000
Rh 4.209 0.000 0.000
Rh 8.098 4.926 3.548
```

- energy relative to the elements (eV per atom) = -0.46
- volume (Å³/cell) = 446.3
- symmetry = P-1

---

(6)
# Ac2NiRh

Ac2NiRh after structural relaxation (GGA-PBE, the Alexandria database).

extended XYZ file:
```
4
Lattice="5.217 0.000 0.000 0.000 5.217 0.000 0.000 0.000 3.729" Properties=species:S:1:pos:R:3 pbc="T T T"
Ac 0.000 2.608 0.000
Ac 2.608 0.000 0.000
Ni 0.000 0.000 1.865
Rh 2.608 2.608 1.865
```

- energy relative to the elements (eV per atom) = -0.34
- volume (Å³/cell) = 101.5
- symmetry = P4/mmm

---

(7)
# Ac8Ni2Rh3

Ac8Ni2Rh3 after structural relaxation (GGA-PBE, the Alexandria database).

extended XYZ file:
```
13
Lattice="7.777 -4.188 0.000 7.777 4.188 0.000 -2.196 0.000 6.919" Properties=species:S:1:pos:R:3 pbc="T T T"
Ac 0.880 0.000 2.689
Ac 5.685 2.026 0.658
Ac 7.673 2.026 6.261
Ac 4.714 0.000 4.028
Ac 8.644 0.000 2.891
Ac 5.685 -2.026 0.658
Ac 7.673 -2.026 6.261
Ac 12.478 0.000 4.230
Ni 3.443 0.000 1.136
Ni 9.915 0.000 5.783
Rh 6.679 2.169 3.460
Rh 7.777 0.000 0.000
Rh 6.679 -2.169 3.460
```

- energy relative to the elements (eV per atom) = -0.39
- volume (Å³/cell) = 450.7
- symmetry = C2/m

---

(8)
# Ac2Ni5Rh5

Ac2Ni5Rh5 after structural relaxation (GGA-PBE, the Alexandria database).

extended XYZ file:
```
12
Lattice="4.069 0.000 0.000 0.000 5.394 0.000 0.000 0.000 9.084" Properties=species:S:1:pos:R:3 pbc="T T T"
Ac 0.000 0.000 0.000
Ac 0.000 2.697 4.542
Ni 0.000 0.000 3.016
Ni 0.000 0.000 6.067
Ni 0.000 2.697 1.391
Ni 0.000 2.697 7.692
Ni 2.034 2.697 0.000
Rh 2.034 0.000 4.542
Rh 2.034 1.364 2.234
Rh 2.034 1.364 6.849
Rh 2.034 4.030 2.234
Rh 2.034 4.030 6.849
```

- energy relative to the elements (eV per atom) = -0.31
- volume (Å³/cell) = 199.4
- symmetry = Pmmm

---

(9)
# Ac2NiRh2

Ac2NiRh2 after structural relaxation (GGA-PBE, the Alexandria database).

extended XYZ file:
```
10
Lattice="7.547 0.000 0.000 0.000 7.547 0.000 0.000 0.000 4.104" Properties=species:S:1:pos:R:3 pbc="T T T"
Ac 1.351 2.423 0.000
Ac 2.423 6.196 0.000
Ac 5.124 1.351 0.000
Ac 6.196 5.124 0.000
Ni 0.000 0.000 2.052
Ni 3.773 3.773 2.052
Rh 0.998 4.771 2.052
Rh 2.776 0.998 2.052
Rh 4.771 6.549 2.052
Rh 6.549 2.776 2.052
```

- energy above the lowest structure with this stoichiometry (eV/atom) = 0.130
- energy relative to the elements (eV per atom) = -0.37
- volume (Å³/cell) = 233.7
- symmetry = P4/mbm

---

(10)
# Ac4NiRhS2

Ac4NiRhS2 after structural relaxation (GGA-PBE, the Alexandria database).

extended XYZ file:
```
8
Lattice="7.317 0.000 0.000 0.000 4.244 0.000 -2.473 0.000 7.557" Properties=species:S:1:pos:R:3 pbc="T T T"
Ac 1.210 0.000 1.760
Ac -0.017 2.122 5.783
Ac 4.861 2.122 1.774
Ac 3.634 0.000 5.797
Ni 0.000 2.122 0.000
Rh 3.659 0.000 0.000
S -1.237 0.000 3.779
S 2.422 2.122 3.779
```

- volume (Å³/cell) = 234.7
- formation energy without anion corrections (eV per atom) = -1.1722
- symmetry = P2/m

---

(11)
# Ac2NiSb4Rh3

Ac2NiSb4Rh3 after structural relaxation (GGA-PBE, the Alexandria database).

extended XYZ file:
```
10
Lattice="4.655 0.000 0.000 0.000 4.655 0.000 0.000 0.000 10.479" Properties=species:S:1:pos:R:3 pbc="T T T"
Ac 0.000 2.328 2.528
Ac 2.328 0.000 7.951
Ni 2.328 2.328 0.000
Sb 0.000 0.000 5.239
Sb 0.000 2.328 9.183
Sb 2.328 0.000 1.296
Sb 2.328 2.328 5.239
Rh 0.000 0.000 0.000
Rh 0.000 2.328 6.530
Rh 2.328 0.000 3.949
```

- volume (Å³/cell) = 227.1
- formation energy without anion corrections (eV per atom) = -0.7970
- symmetry = P-4m2

---

(12)
# AcNiSb2Rh4

AcNiSb2Rh4 after structural relaxation (GGA-PBE, the Alexandria database).

extended XYZ file:
```
8
Lattice="2.202 1.272 9.015 -2.202 1.272 9.015 0.000 -2.543 9.015" Properties=species:S:1:pos:R:3 pbc="T T T"
Ac 0.000 0.000 0.000
Ni 0.000 0.000 13.523
Sb 0.000 0.000 6.320
Sb 0.000 0.000 20.727
Rh 0.000 0.000 3.639
Rh 0.000 0.000 10.999
Rh 0.000 0.000 16.047
Rh 0.000 0.000 23.408
```

- volume (Å³/cell) = 151.5
- formation energy without anion corrections (eV per atom) = -0.4930
- symmetry = R-3m